The following is a DFT calculation (PBE-GGA) of a relaxed KCu2IBrCl crystal.

Properties
Polymorph energy (0 for the lowest one) (meV/atom): 0
VASP energy (eV for the cell shown): -36.66
Crystal system: monoclinic

Lattice parameters (Å, degrees): 7.2463 5.3461 9.2606 90.00 112.21 90.00
Positions (direct):
K: 0.1546 0.2500 0.3944
K: 0.8454 0.7500 0.6056
Cu: 0.3884 0.5014 0.8535
Cu: 0.3884 0.9986 0.8535
Cu: 0.6116 0.0014 0.1465
Cu: 0.6116 0.4986 0.1465
I: 0.2690 0.7500 0.0515
I: 0.7310 0.2500 0.9485
Br: 0.4011 0.7500 0.6254
Br: 0.5989 0.2500 0.3746
Cl: 0.0978 0.2500 0.7165
Cl: 0.9022 0.7500 0.2835

The following is a DFT calculation (PBE-GGA) of a relaxed KCu2IBrCl crystal.

Properties
Polymorph energy (0 for the lowest one) (meV/atom): 7
VASP energy (eV for the cell shown): -36.58
Crystal system: monoclinic

Lattice parameters (Å, degrees): 7.3359 5.3298 9.1808 90.00 111.65 90.00
Positions (direct):
K: 0.1925 0.2500 0.3984
K: 0.8075 0.7500 0.6016
Cu: 0.3958 0.5021 0.8520
Cu: 0.3958 0.9979 0.8520
Cu: 0.6042 0.0021 0.1480
Cu: 0.6042 0.4979 0.1480
I: 0.2712 0.7500 0.0529
I: 0.7288 0.2500 0.9471
Br: 0.0870 0.2500 0.7121
Br: 0.9130 0.7500 0.2879
Cl: 0.4052 0.7500 0.6370
Cl: 0.5948 0.2500 0.3630

The following is a DFT calculation (PBE-GGA) of a relaxed RbCu2IBrCl crystal.

Properties
Polymorph energy (0 for the lowest one) (meV/atom): 0
VASP energy (eV for the cell shown): -36.52
Crystal system: monoclinic

Lattice parameters (Å, degrees): 7.5414 5.4599 9.0934 90.00 111.34 90.00
Positions (direct):
Rb: 0.1540 0.2500 0.3764
Rb: 0.8460 0.7500 0.6236
Cu: 0.3868 0.0000 0.8540
Cu: 0.3868 0.5000 0.8540
Cu: 0.6132 0.0000 0.1460
Cu: 0.6132 0.5000 0.1460
I: 0.2881 0.7500 0.0638
I: 0.7119 0.2500 0.9362
Br: 0.3866 0.7500 0.6216
Br: 0.6134 0.2500 0.3784
Cl: 0.1110 0.2500 0.7301
Cl: 0.8890 0.7500 0.2699

The following is a DFT calculation (PBE-GGA) of a relaxed DyBr2Cl crystal.

Properties
Total magnetic moment (Bohr magnetons per cell): 0.0
VASP energy (eV for the cell shown): -35.73
Crystal system: monoclinic

Lattice parameters (Å, degrees): 7.0723 7.0723 7.0695 99.74 99.74 118.64
Positions (direct):
Dy: 0.1647 0.8353 0.0000
Dy: 0.8353 0.1647 0.0000
Br: 0.0637 0.4197 0.7597
Br: 0.4197 0.0637 0.7597
Br: 0.5803 0.9363 0.2403
Br: 0.9363 0.5803 0.2403
Cl: 0.1980 0.1980 0.2229
Cl: 0.8020 0.8020 0.7771

The following is a DFT calculation (PBE-GGA) of a relaxed DyHBrCl crystal.

Properties
Total magnetic moment (Bohr magnetons per cell): 0.0
VASP energy (eV for the cell shown): -36.17
Crystal system: hexagonal

Lattice parameters (Å, degrees): 3.7829 3.7829 14.4813 90.00 90.00 120.00
Positions (direct):
Dy: 0.0000 0.0000 0.0000
Dy: 0.0000 0.0000 0.5000
H: 0.3333 0.6667 0.4987
H: 0.6667 0.3333 0.9987
Br: 0.3333 0.6667 0.8666
Br: 0.6667 0.3333 0.3666
Cl: 0.3333 0.6667 0.1193
Cl: 0.6667 0.3333 0.6193

The following is a DFT calculation (PBE-GGA) of a relaxed DyHBrCl crystal.

Properties
Total magnetic moment (Bohr magnetons per cell): 0.0
VASP energy (eV for the cell shown): -36.17
Crystal system: hexagonal

Lattice parameters (Å, degrees): 3.7910 3.7910 14.5999 90.00 90.00 120.00
Positions (direct):
Dy: 0.0000 0.0000 0.0000
Dy: 0.0000 0.0000 0.5000
H: 0.3333 0.6667 0.0000
H: 0.6667 0.3333 0.5000
Br: 0.6667 0.3333 0.1320
Br: 0.6667 0.3333 0.8680
Cl: 0.3333 0.6667 0.3807
Cl: 0.3333 0.6667 0.6193

The following is a DFT calculation (PBE-GGA) of a relaxed DyHBrCl crystal.

Properties
Total magnetic moment (Bohr magnetons per cell): 0.0
VASP energy (eV for the cell shown): -36.16
Crystal system: trigonal

Lattice parameters (Å, degrees): 3.7837 3.7837 14.5007 90.00 90.00 120.00
Positions (direct):
Dy: 0.0000 0.0000 0.2456
Dy: 0.0000 0.0000 0.7544
H: 0.3333 0.6667 0.7528
H: 0.6667 0.3333 0.2472
Br: 0.3333 0.6667 0.3790
Br: 0.6667 0.3333 0.6210
Cl: 0.3333 0.6667 0.1264
Cl: 0.6667 0.3333 0.8736

The following is a DFT calculation (PBE-GGA) of a relaxed Dy2H2BrClO2 crystal.

Properties
Total magnetic moment (Bohr magnetons per cell): 1.5
VASP energy (eV for the cell shown): -42.49
Crystal system: trigonal

Lattice parameters (Å, degrees): 3.8821 3.8821 9.7304 90.00 90.00 120.00
Positions (direct):
Dy: 0.0000 0.0000 0.0000
Dy: 0.3333 0.6667 0.4759
H: 0.6667 0.3333 0.3028
H: 0.6667 0.3333 0.8229
Br: 0.0000 0.0000 0.6765
Cl: 0.3333 0.6667 0.1756
O: 0.6667 0.3333 0.4040
O: 0.6667 0.3333 0.9236

The following is a DFT calculation (PBE-GGA) of a relaxed DyHoBrNCl2 crystal.

Properties
Polymorph energy (0 for the lowest one) (meV/atom): 5
Total magnetic moment (Bohr magnetons per cell): 0.0
VASP energy (eV for the cell shown): -70.18
Crystal system: monoclinic

Lattice parameters (Å, degrees): 9.0646 9.0646 11.2016 124.09 124.09 24.35
Positions (direct):
Dy: 0.1372 0.1372 0.2929
Dy: 0.8628 0.8628 0.7071
Ho: 0.4223 0.4223 0.0383
Ho: 0.5777 0.5777 0.9617
Br: 0.0412 0.0412 0.7411
Br: 0.9588 0.9588 0.2589
N: 0.4254 0.4254 0.8424
N: 0.5746 0.5746 0.1576
Cl: 0.2079 0.2079 0.1176
Cl: 0.3264 0.3264 0.4873
Cl: 0.6736 0.6736 0.5127
Cl: 0.7921 0.7921 0.8824

The following is a DFT calculation (PBE-GGA) of a relaxed Dy2Ho2Br3NCl2 crystal.

Properties
Total magnetic moment (Bohr magnetons per cell): 0.0
VASP energy (eV for the cell shown): -52.25
Crystal system: monoclinic

Lattice parameters (Å, degrees): 8.6532 8.6532 8.0070 103.30 103.30 24.66
Positions (direct):
Dy: 0.1418 0.1418 0.0721
Dy: 0.8582 0.8582 0.9279
Ho: 0.4981 0.4981 0.1983
Ho: 0.5019 0.5019 0.8017
Br: 0.0000 0.0000 0.5000
Br: 0.3321 0.3321 0.6519
Br: 0.6679 0.6679 0.3481
N: 0.0000 0.0000 0.0000
Cl: 0.3301 0.3301 0.1633
Cl: 0.6699 0.6699 0.8367

The following is a DFT calculation (PBE-GGA) of a relaxed DyHoBrNCl2 crystal.

Properties
Polymorph energy (0 for the lowest one) (meV/atom): 0
Total magnetic moment (Bohr magnetons per cell): 0.0
VASP energy (eV for the cell shown): -70.24
Crystal system: monoclinic

Lattice parameters (Å, degrees): 8.7050 8.7050 11.0152 121.54 121.54 25.45
Positions (direct):
Dy: 0.1350 0.1350 0.2852
Dy: 0.8650 0.8650 0.7148
Ho: 0.4204 0.4204 0.0436
Ho: 0.5796 0.5796 0.9564
Br: 0.3376 0.3376 0.4829
Br: 0.6624 0.6624 0.5171
N: 0.4252 0.4252 0.8462
N: 0.5748 0.5748 0.1538
Cl: 0.0431 0.0431 0.7569
Cl: 0.2112 0.2112 0.1077
Cl: 0.7888 0.7888 0.8923
Cl: 0.9569 0.9569 0.2431

The following is a DFT calculation (PBE-GGA) of a relaxed Dy2Br2NCl crystal.

Properties
Polymorph energy (0 for the lowest one) (meV/atom): 7
Total magnetic moment (Bohr magnetons per cell): 0.0
VASP energy (eV for the cell shown): -68.65
Crystal system: monoclinic

Lattice parameters (Å, degrees): 9.4985 9.4985 11.6191 125.96 125.96 23.34
Positions (direct):
Dy: 0.0730 0.0730 0.4613
Dy: 0.3612 0.3612 0.2084
Dy: 0.6388 0.6388 0.7916
Dy: 0.9270 0.9270 0.5387
Br: 0.2839 0.2839 0.3741
Br: 0.4684 0.4684 0.7572
Br: 0.5316 0.5316 0.2428
Br: 0.7161 0.7161 0.6259
N: 0.0762 0.0762 0.6566
N: 0.9238 0.9238 0.3434
Cl: 0.1764 0.1764 0.0059
Cl: 0.8236 0.8236 0.9941